Below is a crystal of KLiSe2 relaxed with PBEsol, with properties calculated at the meta-GGA SCAN level.

Cell lengths 3.423, 3.423, 8.897 Å; angles 78.91, 78.91, 60.00 degrees
Atoms (fractional coordinates):
K  0.500  0.500  0.500
Se  0.737  0.737  0.790
Se  0.263  0.263  0.210
Li  0.000  0.000  0.000

Properties
volume: 88.0 Å³ per cell
space-group type: R-3m (166)
DFT total energy: -13.381 eV per atom
spin magnetization: 0.0 Bohr magnetons per cell